Record 1
Pm2InAgSe5 | the Alexandria database | PBE | relaxed; raw formation energy = -112.1 kJ per mole of atoms; E = -4.7740 eV/atom
1.0
2.069 -9.053 0.000
2.069 9.053 0.000
0.000 0.000 11.956
Pm In Ag Se
4 2 2 10
direct
0.119 0.881 0.500 Pm
0.124 0.876 0.877 Pm
0.876 0.124 0.377 Pm
0.881 0.119 0.000 Pm
0.410 0.590 0.676 In
0.590 0.410 0.176 In
0.225 0.775 0.200 Ag
0.775 0.225 0.700 Ag
0.034 0.966 0.280 Se
0.298 0.702 0.527 Se
0.301 0.699 0.861 Se
0.369 0.631 0.192 Se
0.488 0.512 0.483 Se
0.512 0.488 0.983 Se
0.631 0.369 0.692 Se
0.699 0.301 0.361 Se
0.702 0.298 0.027 Se
0.966 0.034 0.780 Se

Record 2
TbPr3Cd3 | the Alexandria database | PBE | relaxed; E = -3.2089 eV/atom; energy of formation from the pure elements = -0.11 eV per atom
1.0
4.465 -5.727 0.000
4.465 5.727 0.000
-1.161 0.000 8.515
Tb Pr Cd
2 6 6
direct
0.201 0.201 0.472 Tb
0.799 0.799 0.528 Tb
0.140 0.140 0.874 Pr
0.255 0.745 0.500 Pr
0.326 0.674 0.000 Pr
0.674 0.326 0.000 Pr
0.745 0.255 0.500 Pr
0.860 0.860 0.126 Pr
0.048 0.399 0.213 Cd
0.399 0.048 0.213 Cd
0.491 0.491 0.294 Cd
0.509 0.509 0.706 Cd
0.601 0.952 0.787 Cd
0.952 0.601 0.787 Cd

Record 3
NpPaAsP | the Alexandria database | PBE | relaxed; E = -9.1179 eV/atom; energy of formation from the pure elements = -0.99 eV per atom
1.0
2.018 1.165 6.572
-2.018 1.165 6.572
0.000 -2.331 6.572
Np Pa As P
1 1 1 1
direct
0.000 0.000 0.000 Np
0.491 0.491 0.491 Pa
0.245 0.245 0.245 As
0.745 0.745 0.745 P

Record 4
TcRuPt | the Alexandria database | PBE | relaxed; distance to the lowest polymorph of the same formula = 296.3 meV per atom; E = -8.3550 eV/atom; energy of formation from the pure elements = 0.21 eV per atom
1.0
8.643 -2.131 0.000
8.643 2.131 0.000
-0.787 0.000 5.391
Tc Ru Pt
4 4 4
direct
0.138 0.138 0.047 Tc
0.143 0.143 0.600 Tc
0.857 0.857 0.400 Tc
0.862 0.862 0.953 Tc
0.276 0.276 0.380 Ru
0.278 0.278 0.895 Ru
0.722 0.722 0.105 Ru
0.724 0.724 0.620 Ru
0.006 0.006 0.752 Pt
0.413 0.413 0.692 Pt
0.587 0.587 0.308 Pt
0.994 0.994 0.248 Pt

- E of number 4 (TcRuPt)?
  -8.3550 eV/atom

- Which of these has the lowest E?
  NpPaAsP

- Which formula does entry 2 have?
  TbPr3Cd3

- Which formula does entry 1 have?
  Pm2InAgSe5